Record 1
K2Cd2Pb | meta-GGA SCAN | PBEsol geometry

Lattice parameters (Å, degrees): 4.763 4.763 8.206 106.87 106.87 90.00
Atoms (fractional coordinates):
Cd1 0.590 0.590 0.180
K1 0.750 0.250 0.500
Pb1 0.000 0.000 0.000
K2 0.250 0.750 0.500
Cd2 0.410 0.410 0.820

**Energy relative to the elements**: 0.188 eV/atom
**Polymorph energy (0 for the lowest one)**: 342 meV per atom

***

Record 2
KCd2Pb2 | meta-GGA SCAN | PBEsol geometry

Lattice parameters (Å, degrees): 3.396 9.174 9.174 90.00 90.00 90.00
Atoms (fractional coordinates):
Pb1 0.000 0.639 0.139
K1 0.000 0.000 0.000
Pb2 0.000 0.361 0.861
Cd1 0.500 0.346 0.154
Pb3 0.000 0.139 0.361
Cd2 0.500 0.154 0.654
Cd3 0.500 0.654 0.846
Cd4 0.500 0.846 0.346
K2 0.000 0.500 0.500
Pb4 0.000 0.861 0.639

**Energy relative to the elements**: -0.085 eV/atom
**Polymorph energy (0 for the lowest one)**: 129 meV per atom

***

Record 3
K2Cd2Pb | meta-GGA SCAN | PBEsol geometry

Lattice parameters (Å, degrees): 5.723 7.655 7.655 90.00 90.00 90.00
Atoms (fractional coordinates):
Cd1 0.000 0.631 0.131
Pb1 0.000 0.500 0.500
K1 0.500 0.818 0.318
Cd2 0.000 0.369 0.869
Cd3 0.000 0.131 0.369
K2 0.500 0.682 0.818
Pb2 0.000 0.000 0.000
K3 0.500 0.182 0.682
K4 0.500 0.318 0.182
Cd4 0.000 0.869 0.631

**Energy relative to the elements**: -0.154 eV/atom
**Polymorph energy (0 for the lowest one)**: 0 meV per atom

***

Record 4
KCdPb | meta-GGA SCAN | PBEsol geometry

Lattice parameters (Å, degrees): 3.758 5.246 5.246 120.00 90.00 90.00
Atoms (fractional coordinates):
K1 0.000 0.333 0.667
Pb1 0.500 0.667 0.333
Cd1 0.500 0.000 0.000

**Energy relative to the elements**: -0.252 eV/atom
**Polymorph energy (0 for the lowest one)**: 0 meV per atom

***

Record 5
KCd2Pb2 | meta-GGA SCAN | PBEsol geometry

Lattice parameters (Å, degrees): 4.869 4.869 7.263 109.59 109.59 90.00
Atoms (fractional coordinates):
K1 0.000 0.000 0.000
Pb1 0.617 0.617 0.234
Cd1 0.250 0.750 0.500
Pb2 0.383 0.383 0.766
Cd2 0.750 0.250 0.500

**Energy relative to the elements**: -0.215 eV/atom
**Polymorph energy (0 for the lowest one)**: 0 meV per atom

***

Record 6
K3CdPb | meta-GGA SCAN | PBEsol geometry

Lattice parameters (Å, degrees): 6.324 6.324 6.324 90.00 90.00 90.00
Atoms (fractional coordinates):
K1 0.000 0.000 0.500
K2 0.000 0.500 0.000
K3 0.500 0.000 0.000
Cd1 0.000 0.000 0.000
Pb1 0.500 0.500 0.500

**Energy relative to the elements**: 0.208 eV/atom

***

Record 7
KCd2Pd2 | meta-GGA SCAN | PBEsol geometry

Lattice parameters (Å, degrees): 2.929 8.212 8.212 90.00 90.00 90.00
Atoms (fractional coordinates):
Pd1 0.500 0.837 0.337
K1 0.000 0.000 0.000
K2 0.000 0.500 0.500
Cd1 0.000 0.131 0.369
Cd2 0.000 0.631 0.131
Pd2 0.500 0.663 0.837
Cd3 0.000 0.369 0.869
Cd4 0.000 0.869 0.631
Pd3 0.500 0.163 0.663
Pd4 0.500 0.337 0.163

**Energy relative to the elements**: -0.277 eV/atom

***

Record 8
KCd3Pd | meta-GGA SCAN | PBEsol geometry

Lattice parameters (Å, degrees): 5.187 5.187 5.187 90.00 90.00 90.00
Atoms (fractional coordinates):
Cd1 0.000 0.500 0.000
Cd2 0.000 0.000 0.500
Cd3 0.500 0.000 0.000
K1 0.500 0.500 0.500
Pd1 0.000 0.000 0.000

**Energy relative to the elements**: -0.200 eV/atom

***

Total energy list, top to bottom, in eV per atom: -30.4652, -44.2293, -30.8075, -38.4270, -44.3586, -26.0288, -27.2181, -26.6691